DFT (PBE-GGA) results for a relaxed structure of ScTeMo2.

The calculation puts the total magnetic moment at 0.000 μB/atom. The total energy is -7.7646 eV per atom. The value obtained for the formation energy from raw total energies is 1.9 kJ per mole of atoms. For the volume, the calculation gives 18.76 Å³ per atom.

The structure belongs to space group P4mm (No. 99); the cell edges are 3.467, 3.467 and 6.244 Å and the angles 90.00°, 90.00° and 90.00°. The distinct sites, in fractional coordinates, are Sc at (0.000, 0.000, 0.000), Te at (0.500, 0.500, 0.262), Mo at (0.000, 0.000, 0.536) and Mo at (0.500, 0.500, 0.751).